# 1
Here is crystalline In3AsSe at its relaxed geometry from Alexandria via LeMat-Bulk. Energies are from PBE.

Geometry as POSCAR:
```
In3AsSe
1.0
5.458 0.000 0.000
0.000 5.458 0.000
0.000 0.000 5.458
In As Se
3 1 1
Direct
0.000 0.000 0.500
0.000 0.500 0.000
0.500 0.000 0.000
0.500 0.500 0.500
0.000 0.000 0.000
```

The symmetry is Pm-3m (221). For the energy above the most stable polymorph in this dataset, the calculation gives 260 meV/atom.

# 2
Here is crystalline InAs2Se6 at its relaxed geometry from Alexandria via LeMat-Bulk. Energies are from PBE.

Geometry as POSCAR:
```
InAs2Se6
1.0
6.393 -6.700 0.000
6.393 6.700 0.000
-3.869 0.000 7.706
In As Se
2 4 12
Direct
0.156 0.844 0.750
0.844 0.156 0.250
0.187 0.414 0.543
0.414 0.187 0.043
0.586 0.813 0.957
0.813 0.586 0.457
0.126 0.223 0.261
0.144 0.638 0.453
0.223 0.126 0.761
0.362 0.856 0.047
0.415 0.481 0.070
0.481 0.415 0.570
0.519 0.585 0.430
0.585 0.519 0.930
0.638 0.144 0.953
0.777 0.874 0.239
0.856 0.362 0.547
0.874 0.777 0.739
```

The symmetry is C2/c (15).

# 3
Here is crystalline InAs2Se at its relaxed geometry from Alexandria via LeMat-Bulk. Energies are from PBE.

Geometry as POSCAR:
```
InAs2Se
1.0
6.569 -1.848 0.000
6.569 1.848 0.000
-0.266 0.000 4.079
In As Se
1 2 1
Direct
0.000 0.000 0.000
0.221 0.221 0.582
0.563 0.563 0.509
0.790 0.790 0.999
```

The symmetry is Cm (8). For the energy above the most stable polymorph in this dataset, the calculation gives 201 meV/atom.

# 4
Here is crystalline In3AsSe2 at its relaxed geometry from Alexandria via LeMat-Bulk. Energies are from PBE.

Geometry as POSCAR:
```
In3AsSe2
1.0
-2.290 6.822 3.229
2.290 -6.822 3.229
2.290 6.822 -3.229
In As Se
3 1 2
Direct
0.000 0.000 0.000
0.353 0.014 0.339
0.675 0.014 0.661
0.771 0.271 0.500
0.093 0.257 0.836
0.422 0.257 0.164
```

The symmetry is Imm2 (44).

Number 1: calculated volume 32.521 Å³/atom, M_tot 0.00 Bohr magnetons per cell, E_form (uncorrected) 0.446 eV/atom. Number 2: calculated volume 36.674 Å³/atom, M_tot 0.00 Bohr magnetons per cell, E_form (uncorrected) -0.154 eV/atom. Number 3: calculated volume 24.760 Å³/atom, M_tot 0.00 Bohr magnetons per cell, E_form (uncorrected) 0.064 eV/atom. Number 4: calculated volume 33.632 Å³/atom, M_tot 0.00 Bohr magnetons per cell, E_form (uncorrected) -0.259 eV/atom.